# 1
PuZn8Ga2Cu: optimized geometry, PBE.

Structure (CIF):
```
data_PuZn8Ga2Cu
_chemical_formula_sum 'Pu1 Zn8 Ga2 Cu1'
_cell_length_a 4.5623
_cell_length_b 4.5623
_cell_length_c 10.9740
_cell_angle_alpha 99.71
_cell_angle_beta 99.71
_cell_angle_gamma 65.93
_symmetry_space_group_name_H-M 'P 1'
_symmetry_Int_Tables_number 1
loop_
_symmetry_equiv_pos_as_xyz
'x,y,z'
loop_
_atom_site_label
_atom_site_fract_x
_atom_site_fract_y
_atom_site_fract_z
_atom_site_occupancy
Pu1 0.0000 0.0000 0.0000 1
Zn1 0.1943 0.7040 0.6895 1
Zn2 0.2631 0.2631 0.8337 1
Zn3 0.2960 0.8057 0.3105 1
Zn4 0.3285 0.3285 0.4627 1
Zn5 0.6715 0.6715 0.5373 1
Zn6 0.7040 0.1943 0.6895 1
Zn7 0.7369 0.7369 0.1663 1
Zn8 0.8057 0.2960 0.3105 1
Ga1 0.3680 0.3680 0.1196 1
Ga2 0.6320 0.6320 0.8804 1
Cu1 0.0000 0.0000 0.5000 1
```

# 2
PuZnGa4Cu2: optimized geometry, PBE.

Structure (CIF):
```
data_PuZnGa4Cu2
_chemical_formula_sum 'Pu1 Zn1 Ga4 Cu2'
_cell_length_a 8.9997
_cell_length_b 8.9997
_cell_length_c 8.9997
_cell_angle_alpha 27.66
_cell_angle_beta 27.66
_cell_angle_gamma 27.66
_symmetry_space_group_name_H-M 'P 1'
_symmetry_Int_Tables_number 1
loop_
_symmetry_equiv_pos_as_xyz
'x,y,z'
loop_
_atom_site_label
_atom_site_fract_x
_atom_site_fract_y
_atom_site_fract_z
_atom_site_occupancy
Pu1 0.0000 0.0000 0.0000 1
Zn1 0.5000 0.5000 0.5000 1
Ga1 0.1243 0.1243 0.1243 1
Ga2 0.3968 0.3968 0.3968 1
Ga3 0.6032 0.6032 0.6032 1
Ga4 0.8757 0.8757 0.8757 1
Cu1 0.2408 0.2408 0.2408 1
Cu2 0.7592 0.7592 0.7592 1
```

# 3
PuZrGaCu: optimized geometry, PBE.

Structure (CIF):
```
data_PuZrGaCu
_chemical_formula_sum 'Pu1 Zr1 Ga1 Cu1'
_cell_length_a 4.8512
_cell_length_b 4.8512
_cell_length_c 4.8512
_cell_angle_alpha 60.00
_cell_angle_beta 60.00
_cell_angle_gamma 60.00
_symmetry_space_group_name_H-M 'P 1'
_symmetry_Int_Tables_number 1
loop_
_symmetry_equiv_pos_as_xyz
'x,y,z'
loop_
_atom_site_label
_atom_site_fract_x
_atom_site_fract_y
_atom_site_fract_z
_atom_site_occupancy
Pu1 0.0000 0.0000 0.0000 1
Zr1 0.5000 0.5000 0.5000 1
Ga1 0.2500 0.2500 0.2500 1
Cu1 0.7500 0.7500 0.7500 1
```

# 4
RbGa6Cu3: optimized geometry, PBE.

Structure (CIF):
```
data_RbGa6Cu3
_chemical_formula_sum 'Rb2 Ga12 Cu6'
_cell_length_a 9.4584
_cell_length_b 6.2639
_cell_length_c 8.0143
_cell_angle_alpha 90.00
_cell_angle_beta 111.45
_cell_angle_gamma 90.00
_symmetry_space_group_name_H-M 'P 1'
_symmetry_Int_Tables_number 1
loop_
_symmetry_equiv_pos_as_xyz
'x,y,z'
loop_
_atom_site_label
_atom_site_fract_x
_atom_site_fract_y
_atom_site_fract_z
_atom_site_occupancy
Rb1 0.0000 0.0000 0.0000 1
Rb2 0.0000 0.5000 0.5000 1
Ga1 0.2320 0.0418 0.7080 1
Ga2 0.2320 0.4582 0.2080 1
Ga3 0.3186 0.6885 0.8860 1
Ga4 0.3186 0.8115 0.3860 1
Ga5 0.4695 0.1448 0.2737 1
Ga6 0.4695 0.3552 0.7737 1
Ga7 0.5305 0.6448 0.2263 1
Ga8 0.5305 0.8552 0.7263 1
Ga9 0.6814 0.1885 0.6140 1
Ga10 0.6814 0.3115 0.1140 1
Ga11 0.7680 0.5418 0.7920 1
Ga12 0.7680 0.9582 0.2920 1
Cu1 0.3278 0.1795 0.4762 1
Cu2 0.3278 0.3205 0.9762 1
Cu3 0.5000 0.0000 0.0000 1
Cu4 0.5000 0.5000 0.5000 1
Cu5 0.6722 0.6795 0.0238 1
Cu6 0.6722 0.8205 0.5238 1
```

# 5
RbGa2Cu2: optimized geometry, PBE.

Structure (CIF):
```
data_RbGa2Cu2
_chemical_formula_sum 'Rb2 Ga4 Cu4'
_cell_length_a 8.3158
_cell_length_b 8.3158
_cell_length_c 2.8513
_cell_angle_alpha 90.00
_cell_angle_beta 90.00
_cell_angle_gamma 90.00
_symmetry_space_group_name_H-M 'P 1'
_symmetry_Int_Tables_number 1
loop_
_symmetry_equiv_pos_as_xyz
'x,y,z'
loop_
_atom_site_label
_atom_site_fract_x
_atom_site_fract_y
_atom_site_fract_z
_atom_site_occupancy
Rb1 0.0000 0.0000 0.0000 1
Rb2 0.5000 0.5000 0.0000 1
Ga1 0.1251 0.3749 0.0000 1
Ga2 0.3749 0.8749 0.0000 1
Ga3 0.6251 0.1251 0.0000 1
Ga4 0.8749 0.6251 0.0000 1
Cu1 0.1479 0.6479 0.5000 1
Cu2 0.3521 0.1479 0.5000 1
Cu3 0.6479 0.8521 0.5000 1
Cu4 0.8521 0.3521 0.5000 1
```

# 6
RbGa3Cu: optimized geometry, PBE.

Structure (CIF):
```
data_RbGa3Cu
_chemical_formula_sum 'Rb1 Ga3 Cu1'
_cell_length_a 6.0088
_cell_length_b 6.0088
_cell_length_c 6.0088
_cell_angle_alpha 90.00
_cell_angle_beta 90.00
_cell_angle_gamma 90.00
_symmetry_space_group_name_H-M 'P 1'
_symmetry_Int_Tables_number 1
loop_
_symmetry_equiv_pos_as_xyz
'x,y,z'
loop_
_atom_site_label
_atom_site_fract_x
_atom_site_fract_y
_atom_site_fract_z
_atom_site_occupancy
Rb1 0.0000 0.0000 0.0000 1
Ga1 0.0000 0.0000 0.5000 1
Ga2 0.0000 0.5000 0.0000 1
Ga3 0.5000 0.0000 0.0000 1
Cu1 0.5000 0.5000 0.5000 1
```

no.,energy of formation (meV/atom)
1,-36
2,-97
3,-127
4,3
5,215
6,1494